(1)
## BeNb3P (SCAN)

Data for a PBEsol-optimized structure of BeNb3P.

Output
**DOS(E_F)**: 6.8 states/eV/f.u.
**Energy of formation from the pure elements**: 536 meV per atom
**Space group**: Pm-3m, No. 221
**Calculated total energy**: -0.8192 Ha/atom

abc: 4.555 4.555 4.555
angles: 90.00 90.00 90.00
Element x y z (fractional)
P (0.000, 0.000, 0.000)
Nb (0.000, 0.500, 0.000)
Nb (0.000, 0.000, 0.500)
Nb (0.500, 0.000, 0.000)
Be (0.500, 0.500, 0.500)


(2)
## Be2Nb2Pd (SCAN)

Data for a PBEsol-optimized structure of Be2Nb2Pd.

Output
**DOS(E_F)**: 3.2 states/eV/f.u.
**Energy of formation from the pure elements**: -333 meV per atom
**Space group**: P4/mbm, No. 127
**Calculated total energy**: -0.8041 Ha/atom

abc: 3.638 6.020 6.020
angles: 90.00 90.00 90.00
Element x y z (fractional)
Be (0.000, 0.372, 0.872)
Be (0.000, 0.872, 0.628)
Be (0.000, 0.628, 0.128)
Be (0.000, 0.128, 0.372)
Nb (0.500, 0.170, 0.670)
Nb (0.500, 0.670, 0.830)
Nb (0.500, 0.830, 0.330)
Nb (0.500, 0.330, 0.170)
Pd (0.000, 0.000, 0.000)
Pd (0.000, 0.500, 0.500)


(3)
## Be3NbPd (SCAN)

Data for a PBEsol-optimized structure of Be3NbPd.

Output
**DOS(E_F)**: 3.5 states/eV/f.u.
**Energy of formation from the pure elements**: 1554 meV per atom
**Space group**: Pm-3m, No. 221
**Calculated total energy**: -0.5233 Ha/atom

abc: 4.260 4.260 4.260
angles: 90.00 90.00 90.00
Element x y z (fractional)
Be (0.000, 0.500, 0.000)
Be (0.000, 0.000, 0.500)
Be (0.500, 0.000, 0.000)
Nb (0.000, 0.000, 0.000)
Pd (0.500, 0.500, 0.500)


(4)
## Be2NbPt2 (SCAN)

Data for a PBEsol-optimized structure of Be2NbPt2.

Output
**DOS(E_F)**: 2.3 states/eV/f.u.
**Energy of formation from the pure elements**: -786 meV per atom
**Space group**: P4/mbm, No. 127
**Calculated total energy**: -1.3682 Ha/atom

abc: 2.684 6.879 6.879
angles: 90.00 90.00 90.00
Element x y z (fractional)
Be (0.000, 0.382, 0.882)
Be (0.000, 0.882, 0.618)
Be (0.000, 0.618, 0.118)
Be (0.000, 0.118, 0.382)
Nb (0.000, 0.000, 0.000)
Nb (0.000, 0.500, 0.500)
Pt (0.500, 0.174, 0.674)
Pt (0.500, 0.674, 0.826)
Pt (0.500, 0.826, 0.326)
Pt (0.500, 0.326, 0.174)


(5)
## Be2Nb2Pt (SCAN)

Data for a PBEsol-optimized structure of Be2Nb2Pt.

Output
**DOS(E_F)**: 2.3 states/eV/f.u.
**Energy of formation from the pure elements**: -619 meV per atom
**Space group**: P4/mbm, No. 127
**Calculated total energy**: -1.0897 Ha/atom

abc: 3.657 6.002 6.002
angles: 90.00 90.00 90.00
Element x y z (fractional)
Be (0.000, 0.372, 0.872)
Be (0.000, 0.872, 0.628)
Be (0.000, 0.628, 0.128)
Be (0.000, 0.128, 0.372)
Nb (0.500, 0.171, 0.671)
Nb (0.500, 0.671, 0.829)
Nb (0.500, 0.829, 0.329)
Nb (0.500, 0.329, 0.171)
Pt (0.000, 0.000, 0.000)
Pt (0.000, 0.500, 0.500)


(6)
## RbBeNb3 (SCAN)

Data for a PBEsol-optimized structure of RbBeNb3.

Output
**DOS(E_F)**: 6.4 states/eV/f.u.
**Energy of formation from the pure elements**: 1519 meV per atom
**Space group**: Pm-3m, No. 221
**Calculated total energy**: -0.8591 Ha/atom

abc: 4.665 4.665 4.665
angles: 90.00 90.00 90.00
Each line ends with the local moment (μB).
Element x y z (fractional)
Be (0.000, 0.000, 0.000)  0.04
Nb (0.000, 0.500, 0.000)  0.29
Nb (0.000, 0.000, 0.500)  0.29
Nb (0.500, 0.000, 0.000)  0.29
Rb (0.500, 0.500, 0.500)  0.05